1.
A plane-wave DFT calculation with PBE was carried out for crystalline TaTcSe2 at its relaxed geometry.

Geometry as POSCAR:
```
TaTcSe2
1.0
3.137 0.000 0.000
0.000 5.382 0.000
0.000 0.000 4.149
Tc Se Ta
1 2 1
direct
0.000 0.500 0.500
0.500 0.500 0.000
0.000 0.000 0.000
0.500 0.000 0.500
```

Properties
Crystal system: orthorhombic
ρ in g/cm3: 10.36
Space-group type: No. 47

2.
A plane-wave DFT calculation with PBE was carried out for crystalline TaTcSe2 at its relaxed geometry.

Geometry as POSCAR:
```
TaTcSe2
1.0
-1.639 -2.245 -3.692
2.921 -1.933 -3.014
0.352 -4.601 -0.251
Tc Ta Se
1 1 2
direct
0.750 0.750 0.750
0.500 0.500 0.500
0.000 0.000 0.000
0.250 0.250 0.250
```

Properties
Crystal system: cubic
ρ in g/cm3: 10.40
Space-group type: No. 216

Quick one: most stable of them? 1

1.
A plane-wave DFT calculation with PBE was carried out for crystalline TaTcSe2 at its relaxed geometry.

Geometry as POSCAR:
```
TaTcSe2
1.0
-2.359 6.338 -4.544
-5.062 5.517 -3.215
-3.065 7.360 -1.680
Se Tc Ta
2 1 1
direct
0.002 0.002 0.002
0.498 0.498 0.498
0.750 0.750 0.750
0.250 0.250 0.250
```

Properties
Crystal system: trigonal
ρ in g/cm3: 10.82
Space-group type: No. 166

2.
A plane-wave DFT calculation with PBE was carried out for crystalline TaTcSe2 at its relaxed geometry.

Geometry as POSCAR:
```
TaTcSe2
1.0
-3.187 0.479 0.353
1.443 -2.838 0.608
1.206 2.281 7.784
Tc Se Ta
1 2 1
direct
0.500 0.500 0.750
0.000 0.000 0.992
0.000 0.000 0.508
0.500 0.500 0.250
```

Properties
Crystal system: orthorhombic
ρ in g/cm3: 10.05
Space-group type: No. 65

3.
A plane-wave DFT calculation with PBE was carried out for crystalline TaTcSe2 at its relaxed geometry.

Geometry as POSCAR:
```
TaTcSe2
1.0
9.606 0.014 0.008
9.061 3.189 0.008
9.061 1.555 2.784
Se Ta Tc
2 1 1
direct
0.226 0.226 0.226
0.027 0.027 0.027
0.496 0.496 0.496
0.751 0.751 0.751
```

Properties
Crystal system: trigonal
ρ in g/cm3: 8.57
Space-group type: No. 160

Quick one: most stable of them? 3

1.
A plane-wave DFT calculation with PBE was carried out for crystalline TaTcSe2 at its relaxed geometry.

Geometry as POSCAR:
```
TaTcSe2
1.0
-1.521 -0.130 -5.314
1.861 -3.935 -3.409
-2.720 1.147 4.675
Se Ta Tc
2 1 1
direct
0.741 0.241 0.500
0.023 0.023 0.000
0.506 0.506 0.000
0.230 0.730 0.500
```

Properties
Crystal system: orthorhombic
ρ in g/cm3: 10.75
Space-group type: No. 44

2.
A plane-wave DFT calculation with PBE was carried out for crystalline TaTcSe2 at its relaxed geometry.

Geometry as POSCAR:
```
TaTcSe2
1.0
5.801 0.000 0.000
0.000 5.801 0.000
2.900 2.900 5.400
Ta Tc Se
2 2 4
direct
0.750 0.250 0.500
0.000 0.000 0.000
0.500 0.500 0.000
0.250 0.750 0.500
0.139 0.625 0.250
0.611 0.125 0.250
0.375 0.389 0.750
0.875 0.861 0.750
```

Properties
Crystal system: tetragonal
ρ in g/cm3: 7.98
Space-group type: No. 122

3.
A plane-wave DFT calculation with PBE was carried out for crystalline TaTcSe2 at its relaxed geometry.

Geometry as POSCAR:
```
TaTcSe2
1.0
-3.261 0.009 1.122
0.219 -3.378 0.666
2.310 1.470 6.700
Se Ta Tc
2 1 1
direct
0.000 0.000 0.896
0.500 0.500 0.354
0.000 0.000 0.542
0.500 0.500 0.708
```

Properties
Crystal system: tetragonal
ρ in g/cm3: 8.42
Space-group type: No. 99

4.
A plane-wave DFT calculation with PBE was carried out for crystalline TaTcSe2 at its relaxed geometry.

Geometry as POSCAR:
```
TaTcSe2
1.0
4.465 0.000 0.000
0.000 4.465 0.000
0.000 0.000 3.188
Se Tc Ta
2 1 1
direct
0.000 0.000 0.000
0.500 0.500 0.000
0.000 0.500 0.500
0.500 0.000 0.500
```

Properties
Crystal system: tetragonal
ρ in g/cm3: 11.41
Space-group type: No. 123

Quick one: most stable of them? 3

1.
A plane-wave DFT calculation with PBE was carried out for crystalline TaTcSe4 at its relaxed geometry.

Geometry as POSCAR:
```
TaTcSe4
1.0
-0.655 2.188 -2.456
-6.262 0.070 4.009
3.319 4.128 2.793
Se Tc Ta
4 1 1
direct
0.902 0.803 0.615
0.130 0.261 0.407
0.600 0.202 0.876
0.368 0.734 0.102
0.505 0.011 0.447
0.995 0.989 0.052
```

Properties
Crystal system: triclinic
ρ in g/cm3: 6.95
Space-group type: No. 1

2.
A plane-wave DFT calculation with PBE was carried out for crystalline TaTcSe4 at its relaxed geometry.

Geometry as POSCAR:
```
TaTcSe4
1.0
0.000 3.866 3.866
3.866 0.000 3.866
3.866 3.866 0.000
Ta Se Tc
1 4 1
direct
0.750 0.750 0.750
0.375 0.375 0.375
0.375 0.375 0.875
0.875 0.375 0.375
0.375 0.875 0.375
0.000 0.000 0.000
```

Properties
Crystal system: cubic
ρ in g/cm3: 8.55
Space-group type: No. 216

Quick one: most stable of them? 1

1.
A plane-wave DFT calculation with PBE was carried out for crystalline Ta3TcSe at its relaxed geometry.

Geometry as POSCAR:
```
Ta3TcSe
1.0
-2.584 0.472 4.047
3.665 -1.826 2.552
1.782 4.441 0.620
Tc Ta Se
1 3 1
direct
0.000 0.000 0.000
0.500 0.000 0.000
0.000 0.000 0.500
0.000 0.500 0.000
0.500 0.500 0.500
```

Properties
Crystal system: cubic
ρ in g/cm3: 10.64
Space-group type: No. 221

2.
A plane-wave DFT calculation with PBE was carried out for crystalline Ta3TcSe at its relaxed geometry.

Geometry as POSCAR:
```
Ta3TcSe
1.0
4.648 0.000 0.000
0.000 4.648 0.000
0.000 0.000 4.648
Se Ta Tc
1 3 1
direct
0.000 0.000 0.000
0.000 0.500 0.000
0.500 0.000 0.000
0.000 0.000 0.500
0.500 0.500 0.500
```

Properties
Crystal system: cubic
ρ in g/cm3: 11.90
Space-group type: No. 221

Quick one: most stable of them? 2

1.
A plane-wave DFT calculation with PBE was carried out for crystalline TaTe2Se2 at its relaxed geometry.

Geometry as POSCAR:
```
TaTe2Se2
1.0
-1.991 -0.310 6.234
6.221 -0.622 1.956
0.490 6.396 0.475
Ta Se Te
2 4 4
direct
0.000 0.000 0.000
0.500 0.500 0.000
0.846 0.654 0.000
0.346 0.846 0.000
0.654 0.154 0.000
0.154 0.346 0.000
0.150 0.650 0.500
0.850 0.350 0.500
0.650 0.850 0.500
0.350 0.150 0.500
```

Properties
Crystal system: tetragonal
ρ in g/cm3: 7.15
Space-group type: No. 127

2.
A plane-wave DFT calculation with PBE was carried out for crystalline TaTe2Se2 at its relaxed geometry.

Geometry as POSCAR:
```
TaTe2Se2
1.0
-3.441 -2.282 4.944
-2.291 -6.487 -0.393
4.522 -3.598 5.814
Se Ta Te
4 2 4
direct
0.005 0.431 0.706
0.995 0.569 0.294
0.437 0.569 0.706
0.563 0.431 0.294
0.857 0.286 0.500
0.143 0.714 0.500
0.108 0.000 0.189
0.401 0.000 0.356
0.892 0.000 0.811
0.599 0.000 0.644
```

Properties
Crystal system: monoclinic
ρ in g/cm3: 6.71
Space-group type: No. 12

Quick one: most stable of them? 2